[1]
The following is a GGA-PBE calculation of Zr2OsRu after structural relaxation, from the Alexandria database.

a b c (Å): 3.2051 3.2051 24.6740
angles (deg): 90.00 90.00 120.00
Space group R-3m (No. 166, hexagonal axes)
Inequivalent atoms, fractional coordinates:
Zr  0.0000  0.0000  0.2495
Os  0.0000  0.0000  0.0000
Ru  0.0000  0.0000  0.5000

Calculated values
magnetization: 0.000 μB per formula unit
calculated density: 10.75 g/cm³
E_form: -0.38 eV per formula unit
D(E_F): 0.84 states/eV per atom

---

[2]
The following is a GGA-PBE calculation of Zr2BeW after structural relaxation, from the Alexandria database.

a b c (Å): 7.367 7.367 5.384
angles (deg): 90.00 90.00 90.00
Space group I-42d (No. 122)
Inequivalent atoms, fractional coordinates:
Zr  0.229  0.750  0.125
Be  0.000  0.000  0.000
W  0.000  0.000  0.500

Calculated values
magnetization: 0.000 μB per formula unit
calculated density: 8.53 g/cm³
E_form: 2.34 eV per formula unit
D(E_F): 0.69 states/eV per atom

---

[3]
The following is a GGA-PBE calculation of Er3Mn2Fe7 after structural relaxation, from the Alexandria database.

a b c (Å): 5.0306 5.0306 24.1116
angles (deg): 90.00 90.00 120.00
Space group R-3m (No. 166, hexagonal axes)
Inequivalent atoms, fractional coordinates:
Er  0.0000  0.0000  0.0000
Er  0.0000  0.0000  0.1413
Mn  0.0000  0.0000  0.3328
Fe  0.0000  0.0000  0.5000
Fe  0.9996  0.4998  0.0812

Calculated values
magnetization: 14.282 μB per formula unit
calculated density: 9.45 g/cm³
E_form: -0.59 eV per formula unit
D(E_F): 1.11 states/eV per atom